*P*
Density functional theory data (SCAN) for Ba2SrPt at its PBEsol-relaxed geometry.

```
data_Ba2SrPt
_space_group_name_H-M_alt 'I m m m'
_space_group_IT_number 71
_space_group_name_Hall '-I 2 2'
_cell_length_a 3.860
_cell_length_b 5.411
_cell_length_c 15.192
_cell_angle_alpha 90.00
_cell_angle_beta 90.00
_cell_angle_gamma 90.00
loop_
_atom_site_label
_atom_site_fract_x
_atom_site_fract_y
_atom_site_fract_z
_atom_site_occupancy
Ba1 0.000 0.000 0.163 1
Sr1 0.000 0.500 0.000 1
Pt1 0.000 0.500 0.500 1
```

Output
Calculated volume = 317.3 Å³ per cell
ρ = 5.83 Mg/m³

=====

*Q*
Density functional theory data (SCAN) for Ba2SrPt at its PBEsol-relaxed geometry.

```
data_Ba2SrPt
_space_group_name_H-M_alt 'C 1 m 1'
_space_group_IT_number 8
_space_group_name_Hall 'C -2y'
_cell_length_a 11.368
_cell_length_b 4.148
_cell_length_c 7.830
_cell_angle_alpha 90.00
_cell_angle_beta 112.67
_cell_angle_gamma 90.00
loop_
_atom_site_label
_atom_site_fract_x
_atom_site_fract_y
_atom_site_fract_z
_atom_site_occupancy
Ba1 0.000 0.000 0.000 1
Ba2 0.166 0.000 0.625 1
Sr1 0.320 0.500 0.309 1
Pt1 0.041 0.500 0.312 1
```

Output
Calculated volume = 340.6 Å³ per cell
ρ = 5.43 Mg/m³

=====

Quick look at relative energies in meV per atom: *P* 70; *Q* 0.

=====

*P*
Density functional theory data (SCAN) for BaSrPt at its PBEsol-relaxed geometry.

```
data_BaSrPt
_space_group_name_H-M_alt 'F -4 3 m'
_space_group_IT_number 216
_space_group_name_Hall 'F -4 2 3'
_cell_length_a 7.450
_cell_length_b 7.450
_cell_length_c 7.450
_cell_angle_alpha 90.00
_cell_angle_beta 90.00
_cell_angle_gamma 90.00
loop_
_atom_site_label
_atom_site_fract_x
_atom_site_fract_y
_atom_site_fract_z
_atom_site_occupancy
Ba1 0.000 0.000 0.000 1
Sr1 0.000 0.000 0.500 1
Pt1 0.250 0.250 0.750 1
```

Output
Calculated volume = 413.4 Å³ per cell
ρ = 6.75 Mg/m³

=====

*Q*
Density functional theory data (SCAN) for BaSrPt at its PBEsol-relaxed geometry.

```
data_BaSrPt
_space_group_name_H-M_alt 'I 4 m m'
_space_group_IT_number 107
_space_group_name_Hall 'I 4 -2'
_cell_length_a 3.786
_cell_length_b 3.786
_cell_length_c 14.480
_cell_angle_alpha 90.00
_cell_angle_beta 90.00
_cell_angle_gamma 90.00
loop_
_atom_site_label
_atom_site_fract_x
_atom_site_fract_y
_atom_site_fract_z
_atom_site_occupancy
Ba1 0.000 0.000 0.000 1
Sr1 0.000 0.000 0.758 1
Pt1 0.000 0.000 0.373 1
```

Output
Calculated volume = 207.6 Å³ per cell
ρ = 6.72 Mg/m³

=====

Quick look at relative energies in meV per atom: *P* 0; *Q* 79.